Record 1
# FeSi2PtSe

A relaxed structure of FeSi2PtSe (PBE, the Alexandria database).

Output
As for the space group: No. 123. Its total magnetization is 3.164 Bohr magnetons per cell. The total energy comes out at -22.4 eV per cell.

abc: 4.759 4.759 4.736
angles: 90.00 90.00 90.00
Atoms (fractional coordinates):
Fe1 0.000 0.000 0.000
Si1 0.000 0.500 0.500
Si2 0.500 0.000 0.500
Pt1 0.500 0.500 0.000
Se1 0.500 0.500 0.500

=====

Record 2
# Cr2RhPb

A relaxed structure of Cr2RhPb (PBE, the Alexandria database).

Output
As for the space group: No. 216. Its total magnetization is 0.983 Bohr magnetons per cell. The total energy comes out at -29.2 eV per cell.

abc: 4.524 4.524 4.524
angles: 60.00 60.00 60.00
Atoms (fractional coordinates):
Cr1 0.000 0.000 0.000
Cr2 0.250 0.250 0.250
Rh1 0.750 0.750 0.750
Pb1 0.500 0.500 0.500

=====

Record 3
# CaTcCl3

A relaxed structure of CaTcCl3 (PBE, the Alexandria database).

Output
As for the energy relative to the lowest polymorph listed for this composition: 0.000 eV/atom. As for the space group: No. 221. Its total magnetization is 1.413 Bohr magnetons per cell.

abc: 4.863 4.863 4.863
angles: 90.00 90.00 90.00
Atoms (fractional coordinates):
Ca1 0.000 0.000 0.000
Tc1 0.500 0.500 0.500
Cl1 0.000 0.500 0.500
Cl2 0.500 0.000 0.500
Cl3 0.500 0.500 0.000

=====

Record 4
# Gd3As5S12

A relaxed structure of Gd3As5S12 (PBE, the Alexandria database).

Output
As for the space group: No. 230. Its total magnetization is 84.097 Bohr magnetons per cell. The total energy comes out at -516.5 eV per cell.

abc: 13.491 13.491 13.491
angles: 109.47 109.47 109.47
Atoms (fractional coordinates):
Gd1 0.125 0.250 0.375
Gd2 0.125 0.375 0.750
Gd3 0.250 0.375 0.125
Gd4 0.250 0.875 0.625
Gd5 0.375 0.125 0.250
Gd6 0.375 0.750 0.125
Gd7 0.625 0.250 0.875
Gd8 0.625 0.875 0.750
Gd9 0.750 0.125 0.375
Gd10 0.750 0.625 0.875
Gd11 0.875 0.625 0.250
Gd12 0.875 0.750 0.625
As1 0.000 0.000 0.000
As2 0.000 0.000 0.500
As3 0.000 0.500 0.000
As4 0.000 0.500 0.500
As5 0.125 0.750 0.875
As6 0.125 0.875 0.250
As7 0.250 0.125 0.875
As8 0.250 0.625 0.375
As9 0.375 0.250 0.625
As10 0.375 0.625 0.750
As11 0.500 0.000 0.000
As12 0.500 0.000 0.500
As13 0.500 0.500 0.000
As14 0.500 0.500 0.500
As15 0.625 0.375 0.250
As16 0.625 0.750 0.375
As17 0.750 0.375 0.625
As18 0.750 0.875 0.125
As19 0.875 0.125 0.750
As20 0.875 0.250 0.125
S1 0.041 0.213 0.130
S2 0.041 0.328 0.911
S3 0.083 0.713 0.672
S4 0.083 0.870 0.411
S5 0.089 0.630 0.417
S6 0.089 0.959 0.672
S7 0.130 0.041 0.213
S8 0.130 0.589 0.917
S9 0.172 0.213 0.583
S10 0.172 0.459 0.589
S11 0.213 0.130 0.041
S12 0.213 0.583 0.172
S13 0.287 0.328 0.917
S14 0.287 0.459 0.370
S15 0.328 0.911 0.041
S16 0.328 0.917 0.287
S17 0.370 0.287 0.459
S18 0.370 0.583 0.911
S19 0.411 0.083 0.870
S20 0.411 0.828 0.541
S21 0.417 0.089 0.630
S22 0.417 0.828 0.787
S23 0.459 0.370 0.287
S24 0.459 0.589 0.172
S25 0.541 0.411 0.828
S26 0.541 0.630 0.713
S27 0.583 0.172 0.213
S28 0.583 0.911 0.370
S29 0.589 0.172 0.459
S30 0.589 0.917 0.130
S31 0.630 0.417 0.089
S32 0.630 0.713 0.541
S33 0.672 0.083 0.713
S34 0.672 0.089 0.959
S35 0.713 0.541 0.630
S36 0.713 0.672 0.083
S37 0.787 0.417 0.828
S38 0.787 0.870 0.959
S39 0.828 0.541 0.411
S40 0.828 0.787 0.417
S41 0.870 0.411 0.083
S42 0.870 0.959 0.787
S43 0.911 0.041 0.328
S44 0.911 0.370 0.583
S45 0.917 0.130 0.589
S46 0.917 0.287 0.328
S47 0.959 0.672 0.089
S48 0.959 0.787 0.870